Entry 1:
The following is a PBE calculation of AcPm5Dy2Tm after structural relaxation, from the Alexandria database.

Lattice parameters (Å, degrees): 5.8046 9.2272 12.1467 90.00 90.00 108.33
With the nearest neighbours (Å) after each atom.
Sites, in units of the cell vectors:
Ac 0.6158 0.2316 0.9239  2 Dy 3.53, 5 Pm 3.55-3.91, 2 Tm 3.76
Ac 0.3842 0.7684 0.4239  2 Dy 3.53, 5 Pm 3.55-3.91, 2 Tm 3.76
Pm 0.4201 0.8403 0.0880  4 Pm 3.50-3.81, 1 Tm 3.55, 4 Dy 3.57-3.71
Pm 0.7675 0.5351 0.7191  3 Pm 3.16-3.50, 1 Dy 3.24
Pm 0.4220 0.8439 0.7649  4 Pm 3.50-3.74, 4 Dy 3.55-3.80, 1 Tm 3.55, 1 Ac 3.91
Pm 0.2322 0.4644 0.6304  2 Pm 3.16, 2 Dy 3.24-3.47
Pm 0.9391 0.8783 0.5721  3 Dy 3.29-3.58, 1 Pm 3.50, 2 Ac 3.55
Pm 0.5799 0.1597 0.5880  4 Pm 3.50-3.81, 1 Tm 3.55, 4 Dy 3.57-3.71
Pm 0.2325 0.4649 0.2191  3 Pm 3.16-3.50, 1 Dy 3.24
Pm 0.5780 0.1561 0.2649  4 Pm 3.50-3.74, 4 Dy 3.55-3.80, 1 Tm 3.55, 1 Ac 3.91
Pm 0.7678 0.5356 0.1304  2 Pm 3.16, 2 Dy 3.24-3.47
Pm 0.0609 0.1217 0.0721  3 Dy 3.29-3.58, 1 Pm 3.50, 2 Ac 3.55
Dy 0.8854 0.7707 0.9242  7 Pm 3.24-3.57, 1 Dy 3.57
Dy 0.0620 0.1240 0.7771  3 Pm 3.29-3.58, 2 Ac 3.53, 1 Dy 3.57
Dy 0.1146 0.2293 0.4242  7 Pm 3.24-3.57, 1 Dy 3.57
Dy 0.9380 0.8760 0.2771  3 Pm 3.29-3.58, 2 Ac 3.53, 1 Dy 3.57
Tm 0.7479 0.4958 0.4243  9 Pm 3.55-3.84, 3 Dy 3.72-3.78, 2 Ac 3.76
Tm 0.2521 0.5042 0.9243  9 Pm 3.55-3.84, 3 Dy 3.72-3.78, 2 Ac 3.76

## Properties
Its formation energy is 0.751 eV/f.u. The density comes out at 7.776 g cm⁻³. The total energy comes out at -4.53 eV per atom.

***

Entry 2:
The following is a PBE calculation of NdGe2PdRh after structural relaxation, from the Alexandria database.

Lattice parameters (Å, degrees): 4.2266 4.2266 6.0351 110.50 110.50 90.00
With the nearest neighbours (Å) after each atom.
Sites, in units of the cell vectors:
Nd 0.0000 0.0000 0.0000  8 Ge 3.24, 4 Pd 3.37, 4 Rh 3.37
Ge 0.6204 0.6204 0.2409  2 Pd 2.51, 2 Rh 2.51, 1 Ge 2.53
Ge 0.3796 0.3796 0.7591  2 Rh 2.51, 2 Pd 2.51, 1 Ge 2.53
Pd 0.2500 0.7500 0.5000  4 Ge 2.51
Rh 0.7500 0.2500 0.5000  4 Ge 2.51

## Properties
Its formation energy is -4.115 eV/f.u. The density comes out at 8.844 g cm⁻³. The total energy comes out at -6.13 eV per atom.

***

Entry 3:
The following is a PBE calculation of LiTb2P after structural relaxation, from the Alexandria database.

Lattice parameters (Å, degrees): 3.7821 3.7821 10.1730 79.29 79.29 60.00
With the nearest neighbours (Å) after each atom.
Sites, in units of the cell vectors:
P 0.5000 0.5000 0.5000  6 Tb 2.72
Tb 0.1123 0.1123 0.6630  3 P 2.72
Tb 0.8877 0.8877 0.3370  3 P 2.72
Li 0.0000 0.0000 0.0000  2 Tb 3.35

## Properties
Its formation energy is -2.130 eV/f.u. The density comes out at 4.800 g cm⁻³. The total energy comes out at -4.68 eV per atom.

***

Entry 4:
The following is a PBE calculation of Rb2BaInSn2 after structural relaxation, from the Alexandria database.

Lattice parameters (Å, degrees): 5.1939 8.8223 10.5921 90.00 90.00 90.00
With the nearest neighbours (Å) after each atom.
Sites, in units of the cell vectors:
Rb 0.5000 0.0125 0.0866  3 Sn 3.73-4.10, 4 Rb 3.95-3.98, 1 In 4.10
Rb 0.0000 0.3385 0.1584  4 Sn 3.55-3.86, 2 Rb 3.95
Rb 0.5000 0.5125 0.9134  3 Sn 3.73-4.10, 4 Rb 3.95-3.98, 1 In 4.10
Rb 0.0000 0.8385 0.8416  4 Sn 3.55-3.86, 2 Rb 3.95
Ba 0.0000 0.0075 0.4558  5 Sn 3.58-3.67, 2 In 3.66
Ba 0.0000 0.5075 0.5442  5 Sn 3.58-3.67, 2 In 3.66
In 0.5000 0.1554 0.6659  4 Sn 3.07-3.26
In 0.5000 0.6554 0.3341  4 Sn 3.07-3.26
Sn 0.0000 0.2384 0.8039  2 In 3.07
Sn 0.5000 0.2932 0.3956  2 In 3.11-3.26
Sn 0.0000 0.7385 0.1961  2 In 3.07
Sn 0.5000 0.7932 0.6044  2 In 3.11-3.26

## Properties
Its formation energy is -1.735 eV/f.u. The density comes out at 4.519 g cm⁻³. The total energy comes out at -2.72 eV per atom.

***

Entry 5:
The following is a PBE calculation of Zn3GaTc after structural relaxation, from the Alexandria database.

Lattice parameters (Å, degrees): 4.5978 4.5978 4.5978 90.00 90.00 90.00
With the nearest neighbours (Å) after each atom.
Sites, in units of the cell vectors:
Zn 0.0000 0.5000 0.0000  2 Ga 2.30
Zn 0.0000 0.0000 0.5000  2 Ga 2.30
Zn 0.5000 0.0000 0.0000  2 Ga 2.30
Tc 0.5000 0.5000 0.5000  12 Zn 3.25
Ga 0.0000 0.0000 0.0000  6 Zn 2.30

## Properties
Its formation energy is 5.086 eV/f.u. The density comes out at 6.218 g cm⁻³. The calculation puts the offset from the most stable computed form at 0.955 eV per atom. The total energy comes out at -2.43 eV per atom.

***

Entry 6:
The following is a PBE calculation of SrTe3As after structural relaxation, from the Alexandria database.

Lattice parameters (Å, degrees): 5.5199 5.5199 5.5199 90.00 90.00 90.00
With the nearest neighbours (Å) after each atom.
Sites, in units of the cell vectors:
Sr 0.5000 0.5000 0.5000  12 Te 3.90
As 0.0000 0.0000 0.0000  6 Te 2.76
Te 0.0000 0.5000 0.0000  2 As 2.76
Te 0.0000 0.0000 0.5000  2 As 2.76
Te 0.5000 0.0000 0.0000  2 As 2.76

## Properties
The density comes out at 5.384 g cm⁻³. For the formation energy without anion corrections, the calculation gives -39 kJ/mol of atoms. The calculation puts the offset from the most stable computed form at 0.130 eV per atom. The total energy comes out at -3.56 eV per atom.

***

Entry 7:
The following is a PBE calculation of Sm2DyErS4 after structural relaxation, from the Alexandria database.

Lattice parameters (Å, degrees): 3.8993 6.8040 6.9298 108.87 90.00 90.00
With the nearest neighbours (Å) after each atom.
Sites, in units of the cell vectors:
Sm 0.5000 0.0000 0.5000  6 S 2.83
Sm 0.0000 0.5000 0.5000  6 S 2.85
Dy 0.5000 0.5000 0.0000  6 S 2.75-2.76
Er 0.0000 0.0000 0.0000  6 S 2.74
S 0.5000 0.2436 0.2370  2 Er 2.74, 1 Dy 2.76, 3 Sm 2.83-2.85
S 0.5000 0.7564 0.7630  2 Er 2.74, 1 Dy 2.76, 3 Sm 2.83-2.85
S 0.0000 0.2522 0.7617  1 Er 2.74, 2 Dy 2.75, 3 Sm 2.83-2.85
S 0.0000 0.7478 0.2383  1 Er 2.74, 2 Dy 2.75, 3 Sm 2.83-2.85

## Properties
The density comes out at 7.242 g cm⁻³. For the formation energy without anion corrections, the calculation gives -193 kJ/mol of atoms. The total energy comes out at -6.39 eV per atom.

***

Entry 8:
The following is a PBE calculation of CsRbLi2Hg after structural relaxation, from the Alexandria database.

Lattice parameters (Å, degrees): 5.8002 5.8002 6.7259 90.00 90.00 90.00
With the nearest neighbours (Å) after each atom.
Sites, in units of the cell vectors:
Cs 0.5000 0.5000 0.5000  4 Rb 4.10, 8 Li 4.44
Hg 0.0000 0.0000 0.0000  4 Li 2.90
Rb 0.0000 0.0000 0.5000  2 Hg 3.36
Li 0.0000 0.5000 0.0000  2 Hg 2.90
Li 0.5000 0.0000 0.0000  2 Hg 2.90

## Properties
Its formation energy is 0.193 eV/f.u. The density comes out at 3.176 g cm⁻³. The total energy comes out at -1.15 eV per atom.

***

Entry 9:
The following is a PBE calculation of Ba2Ag4HgPb3 after structural relaxation, from the Alexandria database.

Lattice parameters (Å, degrees): 5.0651 5.0651 11.3549 90.00 90.00 90.00
With the nearest neighbours (Å) after each atom.
Sites, in units of the cell vectors:
Ba 0.5000 0.0000 0.2442  8 Ag 3.76-3.88, 6 Pb 3.82-3.85, 2 Hg 3.85
Ba 0.0000 0.5000 0.7558  8 Ag 3.76-3.88, 6 Pb 3.82-3.85, 2 Hg 3.85
Ag 0.5000 0.5000 0.0000  4 Pb 2.91
Ag 0.0000 0.0000 0.0000  4 Pb 2.91
Ag 0.5000 0.0000 0.6249  3 Pb 2.82-2.90, 2 Hg 2.90
Ag 0.0000 0.5000 0.3751  3 Pb 2.82-2.90, 2 Hg 2.90
Hg 0.5000 0.5000 0.5000  4 Ag 2.90
Pb 0.0000 0.0000 0.5000  4 Ag 2.90
Pb 0.5000 0.0000 0.8731  5 Ag 2.82-2.91
Pb 0.0000 0.5000 0.1269  5 Ag 2.82-2.91

## Properties
Its formation energy is -2.492 eV/f.u. The density comes out at 8.712 g cm⁻³. The total energy comes out at -2.92 eV per atom.

***

Entry 10:
The following is a PBE calculation of KZnI3O2 after structural relaxation, from the Alexandria database.

Lattice parameters (Å, degrees): 8.5620 9.1835 14.7868 90.00 90.00 90.00
With the nearest neighbours (Å) after each atom.
Sites, in units of the cell vectors:
K 0.9105 0.4869 0.0926  1 O 3.31, 6 I 3.59-3.68
K 0.4105 0.0131 0.9074  1 O 3.31, 6 I 3.59-3.68
K 0.0895 0.9869 0.4074  1 O 3.31, 6 I 3.59-3.68
K 0.5895 0.5131 0.5926  1 O 3.31, 6 I 3.59-3.68
Zn 0.3615 0.4561 0.9191  3 I 2.54-2.56
Zn 0.8615 0.0439 0.0809  3 I 2.54-2.56
Zn 0.6385 0.9561 0.5809  3 I 2.54-2.56
Zn 0.1385 0.5439 0.4191  3 I 2.54-2.56
I 0.3610 0.3360 0.7634  1 Zn 2.55
I 0.8610 0.1640 0.2366  1 Zn 2.55
I 0.6390 0.8360 0.7366  1 Zn 2.55
I 0.1390 0.6640 0.2634  1 Zn 2.55
I 0.5277 0.3321 0.0406  1 Zn 2.56
I 0.0277 0.1679 0.9594  1 Zn 2.56
I 0.4723 0.8321 0.4594  1 Zn 2.56
I 0.9723 0.6679 0.5406  1 Zn 2.56
I 0.1957 0.6785 0.9541  1 Zn 2.54
I 0.6957 0.8215 0.0459  1 Zn 2.54
I 0.8043 0.1785 0.5459  1 Zn 2.54
I 0.3043 0.3215 0.4541  1 Zn 2.54
O 0.8358 0.4894 0.8414  1 O 1.23
O 0.3358 0.0106 0.1586  1 O 1.23
O 0.1642 0.9894 0.6586  1 O 1.23
O 0.6642 0.5106 0.3414  1 O 1.23
O 0.8295 0.4438 0.7630  1 O 1.23
O 0.3295 0.0562 0.2370  1 O 1.23
O 0.1705 0.9438 0.7370  1 O 1.23
O 0.6705 0.5562 0.2630  1 O 1.23

## Properties
The density comes out at 2.955 g cm⁻³. For the formation energy without anion corrections, the calculation gives -62 kJ/mol of atoms. The total energy comes out at -3.06 eV per atom.

***

Entry 11:
The following is a PBE calculation of Sr2LuMg after structural relaxation, from the Alexandria database.

Lattice parameters (Å, degrees): 4.3072 4.3072 8.1380 90.00 90.00 90.00
With the nearest neighbours (Å) after each atom.
Sites, in units of the cell vectors:
Sr 0.0000 0.0000 0.7418  4 Mg 3.63, 4 Lu 3.70, 1 Sr 3.94
Sr 0.0000 0.0000 0.2582  4 Mg 3.63, 4 Lu 3.70, 1 Sr 3.94
Mg 0.5000 0.5000 0.5000  8 Sr 3.63
Lu 0.5000 0.5000 0.0000  8 Sr 3.70, 2 Mg 4.07

## Properties
Its formation energy is 0.668 eV/f.u. The density comes out at 4.119 g cm⁻³. The total energy comes out at -2.20 eV per atom.

***

The highest density belongs to which entry?
NdGe2PdRh

***

Which of these has the highest density?
NdGe2PdRh

***

Among the records above, which one has the lowest density?
KZnI3O2